A geometry-optimized Li2NdLu structure. Source: Alexandria, functional PBE.

Lattice parameters (Å, degrees): 5.278 5.278 5.278 60.00 60.00 60.00
Element x y z (fractional)
Li: 0.250 0.250 0.250
Li: 0.750 0.750 0.750
Nd: 0.000 0.000 0.000
Lu: 0.500 0.500 0.500

Values from the calculation:
**Energy of formation**: 0.1523 eV per atom
**Offset from the most stable computed form**: 0.0 kJ/mol of atoms
**Space-group type**: Fm-3m (225)
**Crystal system**: cubic